1.
VASP calculation (PBE-GGA) on an optimized crystal structure of HfVMo3.

- E above lowest polymorph (meV per atom) = 1145
- V (A^3/atom) = 21.6
- size of the total moment (μB per formula unit) = 3.19
- calculated formation energy (kJ per mole of atoms) = 200.4
- energy (eV/atom) = -8.236

Cell: 4.7588 4.7588 4.7588 Å, 90.00 90.00 90.00°
Closest atoms and distances in Å follow each position.
Fractional coordinates of all 5 atoms:
Hf (0.0000, 0.0000, 0.0000)  6 Mo 2.38
Mo (0.5000, 0.0000, 0.0000)  2 Hf 2.38
Mo (0.0000, 0.5000, 0.0000)  2 Hf 2.38
V (0.5000, 0.5000, 0.5000)  12 Mo 3.37
Mo (0.0000, 0.0000, 0.5000)  2 Hf 2.38

2.
VASP calculation (PBE-GGA) on an optimized crystal structure of MnW.

- V (A^3/atom) = 20.0
- size of the total moment (μB per formula unit) = 0.79
- calculated formation energy (kJ per mole of atoms) = 191.6
- energy (eV/atom) = -9.075

Cell: 3.8374 3.8374 3.8374 Å, 60.00 60.00 60.00°
Closest atoms and distances in Å follow each position.
Fractional coordinates of all 2 atoms:
Mn (0.0000, 0.0000, 0.0000)  4 W 2.35
W (0.7500, 0.7500, 0.7500)  4 Mn 2.35

3.
VASP calculation (PBE-GGA) on an optimized crystal structure of SrDyBeN2.

- V (A^3/atom) = 18.6
- formation energy from raw total energies (eV per atom) = -0.85
- size of the total moment (μB per formula unit) = 0.00
- energy (eV/atom) = -6.181

Cell: 5.1755 5.3615 6.7016 Å, 90.01 90.00 90.00°
Closest atoms and distances in Å follow each position.
Fractional coordinates of all 10 atoms:
Sr (0.9998, 0.5000, 0.2500)  4 N 2.72
N (0.2383, 0.1737, 0.0000)  1 Be 1.55
N (0.2383, 0.8263, 0.5000)  1 Be 1.55
N (0.7617, 0.1737, 0.5000)  1 Be 1.55
N (0.7617, 0.8263, 0.0000)  1 Be 1.55
Be (0.0000, 0.0000, 0.5000)  2 N 1.55
Dy (0.5000, 0.0000, 0.7500)  4 N 2.35
Be (0.0000, 0.0000, 0.0000)  2 N 1.55
Sr (0.0002, 0.5000, 0.7500)  4 N 2.72
Dy (0.5000, 0.0000, 0.2500)  4 N 2.35

4.
VASP calculation (PBE-GGA) on an optimized crystal structure of PmNd2In.

- E above lowest polymorph (meV per atom) = 53
- V (A^3/atom) = 32.1
- size of the total moment (μB per formula unit) = 0.00
- calculated formation energy (kJ per mole of atoms) = -21.3
- energy (eV/atom) = -4.476

Cell: 3.6639 3.6639 9.5706 Å, 90.00 90.00 90.00°
Closest atoms and distances in Å follow each position.
Fractional coordinates of all 4 atoms:
Nd (0.0000, 0.0000, 0.2244)  4 In 3.37, 4 Nd 3.66, 4 Pm 3.70
In (0.5000, 0.5000, 0.0000)  8 Nd 3.37, 4 In 3.66
Pm (0.5000, 0.5000, 0.5000)  4 Pm 3.66, 8 Nd 3.70
Nd (0.0000, 0.0000, 0.7756)  4 In 3.37, 4 Nd 3.66, 4 Pm 3.70

5.
VASP calculation (PBE-GGA) on an optimized crystal structure of Ti8Ir2C3.

- V (A^3/atom) = 15.2
- size of the total moment (μB per formula unit) = 0.00
- calculated formation energy (kJ per mole of atoms) = -45.9
- energy (eV/atom) = -8.826

Cell: 5.6027 6.2454 6.7443 Å, 117.58 106.49 90.00°
Closest atoms and distances in Å follow each position.
Fractional coordinates of all 13 atoms:
Ti (0.6104, 0.1262, 0.7926)  2 C 2.11-2.14
Ti (0.9034, 0.1013, 0.2027)  3 C 2.14-2.20
Ti (0.3896, 0.8738, 0.2074)  2 C 2.11-2.14
C (0.0000, 0.2480, 0.0000)  6 Ti 2.12-2.14
Ti (0.6104, 0.6664, 0.7926)  2 C 2.11-2.14
Ti (0.3896, 0.3336, 0.2074)  2 C 2.11-2.14
Ir (0.6855, 0.7313, 0.4627)  6 Ti 2.49-2.58
Ir (0.3145, 0.2687, 0.5373)  6 Ti 2.49-2.58
C (0.5000, 0.0000, 0.0000)  6 Ti 2.11-2.20
Ti (0.0966, 0.8987, 0.7973)  3 C 2.14-2.20
Ti (0.9870, 0.6167, 0.2333)  2 C 2.12
C (0.0000, 0.7520, 0.0000)  6 Ti 2.12-2.14
Ti (0.0130, 0.3833, 0.7667)  2 C 2.12

6.
VASP calculation (PBE-GGA) on an optimized crystal structure of SbAsPb.

- E above lowest polymorph (meV per atom) = 210
- V (A^3/atom) = 26.6
- formation energy from raw total energies (eV per atom) = 0.25
- size of the total moment (μB per formula unit) = 0.00
- energy (eV/atom) = -3.906

Cell: 8.0933 7.8241 3.3678 Å, 82.30 73.34 24.35°
Closest atoms and distances in Å follow each position.
Fractional coordinates of all 3 atoms:
Sb (0.6479, 0.6479, 0.3521)  2 As 2.81
Pb (0.3419, 0.3419, 0.6581)  2 As 3.17, 4 Pb 3.37, 2 Sb 3.50
As (0.0102, 0.0102, 0.9898)  2 Sb 2.81